VASP calculation (GGA-PBE) on a geometry-optimized NaGeH2Br structure.

Unit cell a=4.0701 b=5.7728 c=4.0701 alpha=90.00 beta=90.00 gamma=90.00
Last column: nearest neighbours and their distance in Å.
Atoms (fractional coordinates):
Br 0.0000 0.0000 0.0000  4 H 2.04
Ge 0.0000 0.5000 0.0000  4 Na 2.88, 2 Br 2.89
H 0.0000 0.0000 0.5000  2 Br 2.04
H 0.5000 0.0000 0.0000  2 Br 2.04
Na 0.5000 0.5000 0.5000  4 Ge 2.88

Results
The calculation puts the electronic total energy at -2.2199 eV/atom. The density of states at the Fermi level comes out at 0.3252 states/eV per atom.